# Y2AlAu2 GGA-PBE optimized geometry
# Space group ... No. 127
# Formation energy from the elements ... -3.7 eV/f.u.
# Fermi-level density of states ... 0.69 states/eV/atom
# Calculated total energy ... -5.392 eV/atom
data_Y2AlAu2
_chemical_formula_sum 'Y4 Al2 Au4'
_cell_length_a 7.700
_cell_length_b 7.700
_cell_length_c 3.874
_cell_angle_alpha 90.00
_cell_angle_beta 90.00
_cell_angle_gamma 90.00
_space_group_name_H-M_alt 'P 1'
_space_group_IT_number 1
loop_
_space_group_symop_operation_xyz
'x,y,z'
loop_
_atom_site_label
_atom_site_fract_x
_atom_site_fract_y
_atom_site_fract_z
Y1 0.669 0.831 0.500
Y2 0.831 0.331 0.500
Y3 0.331 0.169 0.500
Y4 0.169 0.669 0.500
Au1 0.367 0.867 0.000
Au2 0.133 0.367 0.000
Au3 0.867 0.633 0.000
Au4 0.633 0.133 0.000
Al1 0.000 0.000 0.000
Al2 0.500 0.500 0.000

=====

# Y3Al8Au3 GGA-PBE optimized geometry
# Space group ... No. 12
# Formation energy from the elements ... -8.2 eV/f.u.
# Fermi-level density of states ... 0.51 states/eV/atom
# Calculated total energy ... -4.812 eV/atom
data_Y3Al8Au3
_chemical_formula_sum 'Y3 Al8 Au3'
_cell_length_a 4.373
_cell_length_b 8.324
_cell_length_c 8.268
_cell_angle_alpha 72.09
_cell_angle_beta 74.67
_cell_angle_gamma 74.77
_space_group_name_H-M_alt 'P 1'
_space_group_IT_number 1
loop_
_space_group_symop_operation_xyz
'x,y,z'
loop_
_atom_site_label
_atom_site_fract_x
_atom_site_fract_y
_atom_site_fract_z
Al1 0.855 0.425 0.864
Al2 0.497 0.694 0.312
Al3 0.145 0.575 0.136
Al4 0.503 0.306 0.688
Al5 0.342 0.034 0.282
Al6 0.860 0.861 0.420
Al7 0.658 0.966 0.718
Al8 0.140 0.139 0.580
Y1 0.700 0.302 0.297
Y2 0.300 0.698 0.703
Y3 0.000 0.000 0.000
Au1 0.000 0.500 0.500
Au2 0.653 0.708 0.986
Au3 0.347 0.292 0.014

=====

# YAl2Au GGA-PBE optimized geometry
# Space group ... No. 160
# Formation energy from the elements ... -2.1 eV/f.u.
# Fermi-level density of states ... 0.53 states/eV/atom
# Calculated total energy ... -4.843 eV/atom
data_YAl2Au
_chemical_formula_sum 'Y1 Al2 Au1'
_cell_length_a 4.366
_cell_length_b 4.366
_cell_length_c 5.739
_cell_angle_alpha 67.59
_cell_angle_beta 67.59
_cell_angle_gamma 59.99
_space_group_name_H-M_alt 'P 1'
_space_group_IT_number 1
loop_
_space_group_symop_operation_xyz
'x,y,z'
loop_
_atom_site_label
_atom_site_fract_x
_atom_site_fract_y
_atom_site_fract_z
Y1 0.758 0.758 0.728
Au1 0.554 0.554 0.338
Al1 0.219 0.219 0.342
Al2 0.969 0.969 0.093

=====

# YAl2Au3 GGA-PBE optimized geometry
# Space group ... No. 12
# Formation energy from the elements ... -3.7 eV/f.u.
# Fermi-level density of states ... 0.38 states/eV/atom
# Calculated total energy ... -4.587 eV/atom
# Polymorph energy (0 for the lowest one) ... 0.00 eV/f.u.
data_YAl2Au3
_chemical_formula_sum 'Y3 Al6 Au9'
_cell_length_a 4.237
_cell_length_b 8.746
_cell_length_c 10.354
_cell_angle_alpha 107.85
_cell_angle_beta 90.00
_cell_angle_gamma 104.02
_space_group_name_H-M_alt 'P 1'
_space_group_IT_number 1
loop_
_space_group_symop_operation_xyz
'x,y,z'
loop_
_atom_site_label
_atom_site_fract_x
_atom_site_fract_y
_atom_site_fract_z
Au1 0.672 0.345 0.950
Au2 0.500 0.000 0.500
Au3 0.384 0.768 0.821
Au4 0.778 0.556 0.620
Au5 0.041 0.081 0.334
Au6 0.959 0.919 0.666
Au7 0.616 0.232 0.179
Au8 0.222 0.444 0.380
Au9 0.328 0.655 0.050
Al1 0.799 0.599 0.877
Al2 0.639 0.277 0.443
Al3 0.361 0.723 0.557
Al4 0.467 0.934 0.225
Al5 0.201 0.401 0.123
Al6 0.533 0.066 0.775
Y1 0.846 0.693 0.310
Y2 0.154 0.307 0.690
Y3 0.000 0.000 0.000